First-principles (PBE-GGA) data for a relaxed structure of PrSm2Au, as listed in the Alexandria database.

a b c (Å): 3.8473 3.8473 30.1182
angles (deg): 90.00 90.00 120.00
Space group R3m (No. 160, hexagonal axes)
One atom of each set of equivalent atoms:
Pr 0.0000 0.0000 0.0000
Sm 0.0000 0.0000 0.5677
Sm 0.0000 0.0000 0.7651
Au 0.0000 0.0000 0.1659

Calculated values
As for the size of the total moment: 0.00 μB/f.u. The calculation puts the offset from the most stable computed form at 13.9 kJ/mol of atoms. Its total energy is -4.6344 eV per atom. The volume is 386.1 Å³/cell. As for the formation energy: -6.01 kcal/mol of atoms.

=====

First-principles (PBE-GGA) data for a relaxed structure of PrSmAu, as listed in the Alexandria database.

a b c (Å): 8.585 3.935 15.594
angles (deg): 90.00 91.20 90.00
Space group P2_1/m (No. 11)
One atom of each set of equivalent atoms:
Pr 0.013 0.250 0.289
Pr 0.344 0.250 0.084
Pr 0.464 0.250 0.394
Sm 0.024 0.250 0.909
Sm 0.159 0.750 0.475
Sm 0.367 0.250 0.784
Au 0.230 0.250 0.609
Au 0.283 0.750 0.250
Au 0.286 0.750 0.928

Calculated values
As for the size of the total moment: 0.00 μB/f.u. The calculation puts the offset from the most stable computed form at 1.1 kJ/mol of atoms. Its total energy is -4.7716 eV per atom. The volume is 526.7 Å³/cell. As for the formation energy: -11.83 kcal/mol of atoms.

=====

First-principles (PBE-GGA) data for a relaxed structure of PrSmAu2, as listed in the Alexandria database.

a b c (Å): 4.1669 4.1669 22.9068
angles (deg): 90.00 90.00 120.00
Space group R3m (No. 160, hexagonal axes)
One atom of each set of equivalent atoms:
Pr 0.0000 0.0000 0.0000
Sm 0.0000 0.0000 0.8300
Au 0.0000 0.0000 0.2464
Au 0.0000 0.0000 0.4169

Calculated values
As for the size of the total moment: 0.00 μB/f.u. Its total energy is -4.6731 eV per atom. The volume is 344.5 Å³/cell. As for the formation energy: -15.21 kcal/mol of atoms.

=====

First-principles (PBE-GGA) data for a relaxed structure of Pr2SmAu, as listed in the Alexandria database.

a b c (Å): 3.7873 3.7873 31.1632
angles (deg): 90.00 90.00 120.00
Space group R-3m (No. 166, hexagonal axes)
One atom of each set of equivalent atoms:
Pr 0.0000 0.0000 0.2380
Sm 0.0000 0.0000 0.0000
Au 0.0000 0.0000 0.5000

Calculated values
As for the size of the total moment: 0.00 μB/f.u. The calculation puts the offset from the most stable computed form at 15.0 kJ/mol of atoms. Its total energy is -4.6303 eV per atom. The volume is 387.1 Å³/cell. As for the formation energy: -5.57 kcal/mol of atoms.

=====

First-principles (PBE-GGA) data for a relaxed structure of Pr2Sm3Au4, as listed in the Alexandria database.

a b c (Å): 8.882 7.864 7.503
angles (deg): 90.00 110.49 90.00
Space group P2_1/c (No. 14)
One atom of each set of equivalent atoms:
Pr 0.187 0.179 0.052
Sm 0.241 0.668 0.235
Sm 0.500 0.000 0.500
Au 0.072 0.534 0.838
Au 0.489 0.138 0.868

Calculated values
As for the size of the total moment: 0.00 μB/f.u. The calculation puts the offset from the most stable computed form at 0.0 kJ/mol of atoms. Its total energy is -4.7959 eV per atom. The volume is 490.9 Å³/cell. As for the formation energy: -16.24 kcal/mol of atoms.

=====

First-principles (PBE-GGA) data for a relaxed structure of PrSm3Au, as listed in the Alexandria database.

a b c (Å): 6.909 5.301 8.630
angles (deg): 90.00 90.09 90.00
Space group P2_1/m (No. 11)
One atom of each set of equivalent atoms:
Pr 0.079 0.250 0.251
Sm 0.225 0.250 0.750
Sm 0.299 0.750 0.050
Sm 0.300 0.750 0.451
Au 0.491 0.750 0.751

Calculated values
As for the size of the total moment: 0.00 μB/f.u. Its total energy is -4.6761 eV per atom. The volume is 316.1 Å³/cell. As for the formation energy: -5.38 kcal/mol of atoms.

=====

First-principles (PBE-GGA) data for a relaxed structure of Pr5SmAu6, as listed in the Alexandria database.

a b c (Å): 16.717 7.414 5.301
angles (deg): 90.00 108.26 90.00
Space group C2/m (No. 12)
One atom of each set of equivalent atoms:
Pr 0.000 0.000 0.000
Pr 0.165 0.000 0.666
Pr 0.168 0.500 0.668
Sm 0.000 0.500 0.000
Au 0.000 0.261 0.500
Au 0.164 0.256 0.164

Calculated values
As for the size of the total moment: 0.00 μB/f.u. Its total energy is -4.7771 eV per atom. The volume is 623.9 Å³/cell. As for the formation energy: -17.38 kcal/mol of atoms.

=====

First-principles (PBE-GGA) data for a relaxed structure of PrSmAu, as listed in the Alexandria database.

a b c (Å): 5.016 12.487 8.457
angles (deg): 90.00 90.00 90.00
Space group Amm2 (No. 38)
One atom of each set of equivalent atoms:
Pr 0.000 0.000 0.000
Pr 0.000 0.194 0.606
Sm 0.500 0.000 0.684
Sm 0.500 0.137 0.291
Au 0.000 0.000 0.378
Au 0.500 0.158 0.944

Calculated values
As for the size of the total moment: 0.00 μB/f.u. The calculation puts the offset from the most stable computed form at 0.0 kJ/mol of atoms. Its total energy is -4.7827 eV per atom. The volume is 529.7 Å³/cell. As for the formation energy: -12.08 kcal/mol of atoms.

=====

First-principles (PBE-GGA) data for a relaxed structure of PrSmAu4, as listed in the Alexandria database.

a b c (Å): 3.851 3.851 9.291
angles (deg): 90.00 90.00 90.00
Space group P4/mmm (No. 123)
One atom of each set of equivalent atoms:
Pr 0.000 0.000 0.000
Sm 0.500 0.500 0.500
Au 0.000 0.000 0.337
Au 0.500 0.500 0.170

Calculated values
As for the size of the total moment: 0.00 μB/f.u. Its total energy is -4.5464 eV per atom. The volume is 137.8 Å³/cell. As for the formation energy: -17.95 kcal/mol of atoms.

=====

First-principles (PBE-GGA) data for a relaxed structure of PrSm2Au8, as listed in the Alexandria database.

a b c (Å): 8.033 15.329 5.237
angles (deg): 90.00 130.44 90.00
Space group C2/m (No. 12)
One atom of each set of equivalent atoms:
Pr 0.000 0.000 0.000
Sm 0.000 0.315 0.500
Au 0.000 0.202 0.000
Au 0.001 0.500 0.251
Au 0.228 0.133 0.730

Calculated values
As for the size of the total moment: 0.00 μB/f.u. Its total energy is -4.3722 eV per atom. The volume is 490.8 Å³/cell. As for the formation energy: -16.05 kcal/mol of atoms.

=====

First-principles (PBE-GGA) data for a relaxed structure of PrSm2Au, as listed in the Alexandria database.

a b c (Å): 5.532 5.532 3.688
angles (deg): 90.00 90.00 90.00
Space group P4/mmm (No. 123)
One atom of each set of equivalent atoms:
Pr 0.000 0.000 0.000
Sm 0.000 0.500 0.500
Au 0.500 0.500 0.000

Calculated values
As for the size of the total moment: 0.00 μB/f.u. The calculation puts the offset from the most stable computed form at 17.9 kJ/mol of atoms. Its total energy is -4.5934 eV per atom. The volume is 112.9 Å³/cell. As for the formation energy: -5.06 kcal/mol of atoms.

=====

First-principles (PBE-GGA) data for a relaxed structure of Pr3SmAu7, as listed in the Alexandria database.

a b c (Å): 3.872 22.415 12.972
angles (deg): 90.00 90.00 90.00
Space group Cmcm (No. 63)
One atom of each set of equivalent atoms:
Pr 0.000 0.140 0.057
Pr 0.000 0.190 0.750
Sm 0.000 0.005 0.750
Au 0.000 0.278 0.068
Au 0.000 0.381 0.750
Au 0.000 0.403 0.135
Au 0.000 0.465 0.582

Calculated values
As for the size of the total moment: 0.00 μB/f.u. Its total energy is -4.5162 eV per atom. The volume is 1125.9 Å³/cell. As for the formation energy: -16.10 kcal/mol of atoms.

=====

First-principles (PBE-GGA) data for a relaxed structure of Pr3Sm3Au4, as listed in the Alexandria database.

a b c (Å): 3.897 11.841 11.992
angles (deg): 90.00 90.00 90.00
Space group Amm2 (No. 38)
One atom of each set of equivalent atoms:
Pr 0.000 0.000 0.000
Pr 0.500 0.249 0.090
Sm 0.000 0.000 0.672
Sm 0.000 0.164 0.341
Au 0.500 0.000 0.214
Au 0.500 0.000 0.468
Au 0.500 0.130 0.834

Calculated values
As for the size of the total moment: 0.00 μB/f.u. Its total energy is -4.8006 eV per atom. The volume is 553.4 Å³/cell. As for the formation energy: -14.76 kcal/mol of atoms.

=====

First-principles (PBE-GGA) data for a relaxed structure of PrSm2Au, as listed in the Alexandria database.

a b c (Å): 3.831 12.628 9.941
angles (deg): 90.00 90.00 90.00
Space group Cmcm (No. 63)
One atom of each set of equivalent atoms:
Pr 0.000 0.060 0.250
Sm 0.000 0.365 0.050
Au 0.000 0.237 0.750

Calculated values
As for the size of the total moment: 0.00 μB/f.u. The calculation puts the offset from the most stable computed form at 0.0 kJ/mol of atoms. Its total energy is -4.7785 eV per atom. The volume is 480.9 Å³/cell. As for the formation energy: -9.33 kcal/mol of atoms.

=====

First-principles (PBE-GGA) data for a relaxed structure of PrSmSnAu, as listed in the Alexandria database.

a b c (Å): 7.603 7.603 7.603
angles (deg): 90.00 90.00 90.00
Space group F-43m (No. 216)
One atom of each set of equivalent atoms:
Pr 0.000 0.000 0.000
Sm 0.000 0.000 0.500
Sn 0.250 0.250 0.750
Au 0.250 0.250 0.250

Calculated values
As for the size of the total moment: 0.81 μB/f.u. Its total energy is -4.9051 eV per atom. The volume is 439.6 Å³/cell. As for the formation energy: -16.38 kcal/mol of atoms.

=====

First-principles (PBE-GGA) data for a relaxed structure of PrSmTeAu, as listed in the Alexandria database.

a b c (Å): 4.2973 4.2973 22.9100
angles (deg): 90.00 90.00 120.00
Space group R3m (No. 160, hexagonal axes)
One atom of each set of equivalent atoms:
Pr 0.0000 0.0000 0.0000
Sm 0.0000 0.0000 0.5109
Te 0.0000 0.0000 0.7573
Au 0.0000 0.0000 0.2533

Calculated values
As for the size of the total moment: 0.00 μB/f.u. Its uncorrected formation energy is -1.06 eV per atom. Its total energy is -5.0354 eV per atom. The volume is 366.4 Å³/cell.

=====

First-principles (PBE-GGA) data for a relaxed structure of PrSmTlAu, as listed in the Alexandria database.

a b c (Å): 3.726 3.726 7.968
angles (deg): 90.00 90.00 90.00
Space group P4mm (No. 99)
One atom of each set of equivalent atoms:
Pr 0.000 0.000 0.000
Sm 0.000 0.000 0.541
Tl 0.500 0.500 0.274
Au 0.500 0.500 0.752

Calculated values
As for the size of the total moment: 0.00 μB/f.u. The calculation puts the offset from the most stable computed form at 0.0 kJ/mol of atoms. Its total energy is -4.3616 eV per atom. The volume is 110.6 Å³/cell. As for the formation energy: -13.28 kcal/mol of atoms.

=====

First-principles (PBE-GGA) data for a relaxed structure of PrSmTlAu, as listed in the Alexandria database.

a b c (Å): 7.631 7.631 7.631
angles (deg): 90.00 90.00 90.00
Space group F-43m (No. 216)
One atom of each set of equivalent atoms:
Pr 0.000 0.000 0.000
Sm 0.000 0.000 0.500
Tl 0.250 0.250 0.750
Au 0.250 0.250 0.250

Calculated values
As for the size of the total moment: 0.43 μB/f.u. The calculation puts the offset from the most stable computed form at 4.8 kJ/mol of atoms. Its total energy is -4.3114 eV per atom. The volume is 444.3 Å³/cell. As for the formation energy: -12.13 kcal/mol of atoms.

=====

First-principles (PBE-GGA) data for a relaxed structure of PrSnAu6, as listed in the Alexandria database.

a b c (Å): 5.546 5.546 5.546
angles (deg): 90.00 90.00 90.00
Space group Pm-3 (No. 200)
One atom of each set of equivalent atoms:
Pr 0.000 0.000 0.000
Sn 0.500 0.500 0.500
Au 0.000 0.252 0.500

Calculated values
As for the size of the total moment: 0.00 μB/f.u. Its total energy is -3.8466 eV per atom. The volume is 170.6 Å³/cell. As for the formation energy: -6.71 kcal/mol of atoms.

=====

First-principles (PBE-GGA) data for a relaxed structure of Pr3Sn2Au7, as listed in the Alexandria database.

a b c (Å): 4.414 4.414 29.629
angles (deg): 90.00 90.00 90.00
Space group I4/mmm (No. 139)
One atom of each set of equivalent atoms:
Pr 0.000 0.000 0.000
Pr 0.000 0.000 0.172
Sn 0.000 0.000 0.367
Au 0.000 0.000 0.273
Au 0.000 0.000 0.500
Au 0.000 0.500 0.075

Calculated values
As for the size of the total moment: 0.00 μB/f.u. Its total energy is -4.2388 eV per atom. The volume is 577.3 Å³/cell. As for the formation energy: -10.72 kcal/mol of atoms.

=====

First-principles (PBE-GGA) data for a relaxed structure of Pr2SnAu3, as listed in the Alexandria database.

a b c (Å): 7.416 9.613 16.682
angles (deg): 90.00 90.00 90.00
Space group Fmmm (No. 69)
One atom of each set of equivalent atoms:
Pr 0.236 0.000 0.000
Pr 0.250 0.250 0.250
Sn 0.000 0.000 0.335
Au 0.000 0.000 0.169
Au 0.000 0.249 0.416

Calculated values
As for the size of the total moment: 0.00 μB/f.u. Its total energy is -4.6533 eV per atom. The volume is 1189.3 Å³/cell. As for the formation energy: -17.39 kcal/mol of atoms.

=====

First-principles (PBE-GGA) data for a relaxed structure of PrSn2Au, as listed in the Alexandria database.

a b c (Å): 7.577 4.691 11.876
angles (deg): 90.00 90.00 90.00
Space group Pnma (No. 62)
One atom of each set of equivalent atoms:
Pr 0.173 0.250 0.156
Sn 0.133 0.250 0.879
Sn 0.140 0.250 0.436
Au 0.040 0.250 0.659

Calculated values
As for the size of the total moment: 0.00 μB/f.u. Its total energy is -4.5994 eV per atom. The volume is 422.1 Å³/cell. As for the formation energy: -13.46 kcal/mol of atoms.

=====

First-principles (PBE-GGA) data for a relaxed structure of PrSnAu2, as listed in the Alexandria database.

a b c (Å): 7.209 7.209 7.209
angles (deg): 90.00 90.00 90.00
Space group Fm-3m (No. 225)
One atom of each set of equivalent atoms:
Pr 0.000 0.000 0.000
Sn 0.000 0.000 0.500
Au 0.250 0.250 0.250

Calculated values
As for the size of the total moment: 0.00 μB/f.u. Its total energy is -4.5145 eV per atom. The volume is 374.7 Å³/cell. As for the formation energy: -15.69 kcal/mol of atoms.